[1]
This record from Alexandria describes a PBEsol-optimized structure of NbAlCd2Co. The functional is meta-GGA SCAN.

Values from the calculation:
Formation energy, eV per atom: 1.34

abc: 4.2560 5.4085 5.4085
angles: 90.00 90.00 90.00
Site moments in Bohr magnetons follow the coordinates.
Sites, in units of the cell vectors:
Nb (0.0000, 0.0000, 0.0000)  -0.18
Co (0.5000, 0.0000, 0.0000)  1.26
Al (0.5000, 0.5000, 0.5000)  0.00
Cd (0.0000, 0.0000, 0.5000)  0.01
Cd (0.0000, 0.5000, 0.0000)  0.01

=====

[2]
This record from Alexandria describes a PBEsol-optimized structure of MgAl2Cd. The functional is meta-GGA SCAN.

Values from the calculation:
Formation energy, eV per atom: 0.02

abc: 2.9951 2.9951 8.3713
angles: 90.00 90.00 91.96
Sites, in units of the cell vectors:
Mg (0.5000, 0.5000, 0.2420)
Al (0.0000, 0.0000, 0.9884)
Al (0.5000, 0.5000, 0.7615)
Cd (0.0000, 0.0000, 0.5081)

=====

[3]
This record from Alexandria describes a PBEsol-optimized structure of KLiCo2. The functional is meta-GGA SCAN.

Values from the calculation:
Distance to the lowest polymorph of the same formula, eV per formula unit: 0.183
Formation energy, eV per atom: 0.91

abc: 3.5613 3.5613 4.9218
angles: 90.00 90.00 90.00
Site moments in Bohr magnetons follow the coordinates.
Sites, in units of the cell vectors:
Co (0.0000, 0.5000, 0.0000)  1.73
Co (0.5000, 0.0000, 0.0000)  1.73
K (0.5000, 0.5000, 0.5000)  -0.08
Li (0.0000, 0.0000, 0.5000)  -0.05

=====

[4]
This record from Alexandria describes a PBEsol-optimized structure of Dy2Be2GeO7. The functional is meta-GGA SCAN.

Values from the calculation:
Raw formation energy, eV/atom: -3.1578

abc: 4.7681 7.3653 7.3653
angles: 90.00 90.00 90.00
Sites, in units of the cell vectors:
Dy (0.5056, 0.6579, 0.8421)
Dy (0.4944, 0.1579, 0.6579)
Dy (0.4944, 0.8421, 0.3421)
Dy (0.5056, 0.3421, 0.1579)
Be (0.0480, 0.3645, 0.8645)
Be (0.9520, 0.8645, 0.6355)
Be (0.0480, 0.6355, 0.1355)
Be (0.9520, 0.1355, 0.3645)
Ge (0.0000, 0.5000, 0.5000)
Ge (0.0000, 0.0000, 0.0000)
O (0.7806, 0.9187, 0.8284)
O (0.2194, 0.1716, 0.9187)
O (0.2194, 0.5813, 0.3284)
O (0.2194, 0.4187, 0.6716)
O (0.7806, 0.3284, 0.4187)
O (0.7806, 0.6716, 0.5813)
O (0.8123, 0.0000, 0.5000)
O (0.1877, 0.5000, 0.0000)
O (0.2841, 0.1420, 0.3580)
O (0.7159, 0.6420, 0.1420)
O (0.7159, 0.3580, 0.8580)
O (0.2841, 0.8580, 0.6420)
O (0.7806, 0.0813, 0.1716)
O (0.2194, 0.8284, 0.0813)

=====

[5]
This record from Alexandria describes a PBEsol-optimized structure of Sr2ReSiAs. The functional is meta-GGA SCAN.

Values from the calculation:
Raw formation energy, eV/atom: 0.5349

abc: 4.6216 5.7698 5.7698
angles: 90.00 90.00 90.00
Site moments in Bohr magnetons follow the coordinates.
Sites, in units of the cell vectors:
Re (0.0000, 0.0000, 0.0000)  0.67
As (0.5000, 0.0000, 0.0000)  -0.05
Si (0.5000, 0.5000, 0.5000)  0.43
Sr (0.0000, 0.0000, 0.5000)  0.05
Sr (0.0000, 0.5000, 0.0000)  0.05

=====

[6]
This record from Alexandria describes a PBEsol-optimized structure of CaLa2Au. The functional is meta-GGA SCAN.

Values from the calculation:
Distance to the lowest polymorph of the same formula, eV per formula unit: 0.795
Formation energy, eV per atom: -0.28

abc: 4.5670 4.5670 6.1797
angles: 111.69 111.69 90.00
Sites, in units of the cell vectors:
Ca (0.0000, 0.0000, 0.0000)
Au (0.5000, 0.5000, 0.0000)
La (0.7500, 0.2500, 0.5000)
La (0.2500, 0.7500, 0.5000)

=====

[7]
This record from Alexandria describes a PBEsol-optimized structure of MgIn2. The functional is meta-GGA SCAN.

Values from the calculation:
Formation energy, eV per atom: -0.04

abc: 5.7845 5.7845 5.7845
angles: 105.25 105.25 118.29
Sites, in units of the cell vectors:
Mg (0.2500, 0.2500, 0.0000)
Mg (0.7500, 0.7500, 0.0000)
In (0.6535, 0.1535, 0.8071)
In (0.1535, 0.3465, 0.5000)
In (0.8465, 0.6535, 0.5000)
In (0.3465, 0.8465, 0.1929)

=====

[8]
This record from Alexandria describes a PBEsol-optimized structure of Rb3SnN. The functional is meta-GGA SCAN.

Values from the calculation:
Raw formation energy, eV/atom: 0.4037

abc: 5.7383 5.7383 5.7383
angles: 90.00 90.00 90.00
Site moments in Bohr magnetons follow the coordinates.
Sites, in units of the cell vectors:
Sn (0.5000, 0.5000, 0.5000)  0.77
Rb (0.0000, 0.5000, 0.0000)  0.03
Rb (0.0000, 0.0000, 0.5000)  0.03
Rb (0.5000, 0.0000, 0.0000)  0.03
N (0.0000, 0.0000, 0.0000)  1.10

=====

Number 1: spin magnetization 0.238 μB/atom, calculated volume 24.9 Å³/atom. Number 2: spin magnetization 0.005 μB/atom, calculated volume 18.8 Å³/atom. Number 3: spin magnetization 0.712 μB/atom, calculated volume 15.6 Å³/atom. Number 4: spin magnetization 0.000 μB/atom, calculated volume 10.8 Å³/atom. Number 5: spin magnetization 0.482 μB/atom, calculated volume 30.8 Å³/atom. Number 6: spin magnetization 0.024 μB/atom, calculated volume 27.5 Å³/atom. Number 7: spin magnetization 0.000 μB/atom, calculated volume 24.4 Å³/atom. Number 8: spin magnetization 0.800 μB/atom, calculated volume 37.8 Å³/atom.